(1)
# GGA-PBE HoTmGa4Ni2, relaxed
# Space-group type: No. 38
# Volume, Å³ per atom: 17.056
# DFT total energy, Ha/atom: -0.1725
data_HoTmGa4Ni2
_chemical_formula_sum 'Ho1 Tm1 Ga4 Ni2'
_cell_length_a 6.658
_cell_length_b 5.400
_cell_length_c 5.400
_cell_angle_alpha 44.66
_cell_angle_beta 90.00
_cell_angle_gamma 90.00
_symmetry_space_group_name_H-M 'P 1'
_symmetry_Int_Tables_number 1
loop_
_symmetry_equiv_pos_as_xyz
'x,y,z'
loop_
_atom_site_label
_atom_site_type_symbol
_atom_site_fract_x
_atom_site_fract_y
_atom_site_fract_z
_atom_site_occupancy
Ga1 Ga 0.197 0.144 0.144 1
Ga2 Ga 0.803 0.144 0.144 1
Ga3 Ga 0.304 0.856 0.856 1
Ga4 Ga 0.696 0.856 0.856 1
Ho1 Ho 0.000 0.429 0.429 1
Ni1 Ni 0.500 0.290 0.290 1
Ni2 Ni 0.000 0.710 0.710 1
Tm1 Tm 0.500 0.572 0.572 1



(2)
# GGA-PBE YHoGa2Ni4, relaxed
# Space-group type: No. 187
# Volume, Å³ per atom: 16.513
# DFT total energy, Ha/atom: -0.2019
data_YHoGa2Ni4
_chemical_formula_sum 'Y1 Ho1 Ga2 Ni4'
_cell_length_a 4.144
_cell_length_b 4.144
_cell_length_c 8.881
_cell_angle_alpha 90.00
_cell_angle_beta 90.00
_cell_angle_gamma 120.00
_symmetry_space_group_name_H-M 'P 1'
_symmetry_Int_Tables_number 1
loop_
_symmetry_equiv_pos_as_xyz
'x,y,z'
loop_
_atom_site_label
_atom_site_type_symbol
_atom_site_fract_x
_atom_site_fract_y
_atom_site_fract_z
_atom_site_occupancy
Ga1 Ga 0.667 0.333 0.251 1
Ga2 Ga 0.667 0.333 0.749 1
Ho1 Ho 0.000 0.000 0.500 1
Ni1 Ni 0.000 0.000 0.190 1
Ni2 Ni 0.333 0.667 0.315 1
Ni3 Ni 0.333 0.667 0.685 1
Ni4 Ni 0.000 0.000 0.810 1
Y1 Y 0.333 0.667 0.000 1



(3)
# GGA-PBE HoGaO3, relaxed
# Space-group type: No. 148
# Volume, Å³ per atom: 11.924
# DFT total energy, Ha/atom: -0.2617
data_HoGaO3
_chemical_formula_sum 'Ho2 Ga2 O6'
_cell_length_a 5.355
_cell_length_b 5.355
_cell_length_c 5.711
_cell_angle_alpha 62.04
_cell_angle_beta 62.04
_cell_angle_gamma 60.00
_symmetry_space_group_name_H-M 'P 1'
_symmetry_Int_Tables_number 1
loop_
_symmetry_equiv_pos_as_xyz
'x,y,z'
loop_
_atom_site_label
_atom_site_type_symbol
_atom_site_fract_x
_atom_site_fract_y
_atom_site_fract_z
_atom_site_occupancy
Ga1 Ga 0.850 0.850 0.451 1
Ga2 Ga 0.150 0.150 0.549 1
Ho1 Ho 0.635 0.635 0.095 1
Ho2 Ho 0.365 0.365 0.905 1
O1 O 0.965 0.558 0.265 1
O2 O 0.211 0.965 0.265 1
O3 O 0.558 0.211 0.265 1
O4 O 0.442 0.789 0.735 1
O5 O 0.789 0.035 0.735 1
O6 O 0.035 0.442 0.735 1